# LiTmPt2

LiTmPt2 after structural relaxation (PBE, the Alexandria database).

Output
- crystal system = tetragonal
- calculated volume (Å³/atom) = 17.25
- N(E_F) (states/eV/cell) = 0.66
- energy relative to the lowest polymorph listed for this composition (meV per atom) = 0
- energy of formation (meV per atom) = -1017
- uncorrected energy (eV/atom) = -5.6341
- total magnetic moment (μB/cell) = 0.0

Lattice parameters (Å, degrees): 3.4344 3.4344 5.8487 90.00 90.00 90.00
Positions (direct):
Li 0.5000 0.5000 0.0000
Pt 0.0000 0.0000 0.7663
Pt 0.0000 0.0000 0.2337
Tm 0.5000 0.5000 0.5000